Cr4OsRu after structural relaxation. Source: Alexandria, functional PBEsol.

a = 6.586 Å, b = 6.586 Å, c = 6.586 Å
α = 90.00°, β = 90.00°, γ = 90.00°
Space group F-43m (No. 216)
Symmetry-distinct sites (fractional):
Cr: 0.125 0.125 0.125 (multiplicity 16)
Os: 0.000 0.000 0.500 (multiplicity 4)
Ru: 0.250 0.250 0.750 (multiplicity 4)

- crystal system = cubic
- E (eV/atom) = -10.550
- total magnetization (Bohr magnetons per cell) = 0.0
- energy relative to the elements (meV per atom) = 9
- N(E_F) (states/eV/f.u.) = 4.507